Entry 1:
A plane-wave DFT calculation with PBE was carried out for Sb2IBrF after structural relaxation.

## Properties
The energy above the lowest structure with this stoichiometry is 598.9 meV per atom.

a = 5.664 Å, b = 5.664 Å, c = 5.754 Å
α = 90.00°, β = 90.00°, γ = 90.00°
Each line ends with the local moment (μB).
Sites, in units of the cell vectors:
I: 0.000 0.000 0.500  0.02
Sb: 0.000 0.500 0.000  0.33
Sb: 0.500 0.000 0.000  0.33
Br: 0.000 0.000 0.000  0.01
F: 0.500 0.500 0.500  0.04

Entry 2:
A plane-wave DFT calculation with PBE was carried out for ZnReS3 after structural relaxation.

## Properties
The energy above the lowest structure with this stoichiometry is 0.0 meV per atom.

a = 4.650 Å, b = 4.650 Å, c = 4.650 Å
α = 90.00°, β = 90.00°, γ = 90.00°
Sites, in units of the cell vectors:
Re: 0.000 0.000 0.000
Zn: 0.500 0.500 0.500
S: 0.000 0.500 0.000
S: 0.000 0.000 0.500
S: 0.500 0.000 0.000

no.,V (Å³/cell),total DFT energy (no corrections) (hartree per atom),formation energy without anion corrections (meV per atom)
1,184.6,-0.074,641
2,100.5,-0.180,333